1.
# PBE NdEuAl2, optimized geometry
data_NdEuAl2
_chemical_formula_sum 'Nd1 Eu1 Al2'
_space_group_name_H-M_alt 'P 4/m m m'
_space_group_IT_number 123
_space_group_name_Hall '-P 4 2'
_cell_length_a 3.746
_cell_length_b 3.746
_cell_length_c 7.544
_cell_angle_alpha 90.00
_cell_angle_beta 90.00
_cell_angle_gamma 90.00
loop_
_atom_site_label
_atom_site_fract_x
_atom_site_fract_y
_atom_site_fract_z
Nd1 0.000 0.000 0.000
Eu1 0.000 0.000 0.500
Al1 0.500 0.500 0.244
# E_form: -27.0 kJ/mol of atoms

2.
# PBE NdEuAl2, optimized geometry
data_NdEuAl2
_chemical_formula_sum 'Nd3 Eu3 Al6'
_space_group_name_H-M_alt 'R -3 m'
_space_group_IT_number 166
_space_group_name_Hall '-R 3 2"'
_cell_length_a 3.6792
_cell_length_b 3.6792
_cell_length_c 29.1837
_cell_angle_alpha 90.00
_cell_angle_beta 90.00
_cell_angle_gamma 120.00
loop_
_atom_site_label
_atom_site_fract_x
_atom_site_fract_y
_atom_site_fract_z
Nd1 0.0000 0.0000 0.0000
Eu1 0.0000 0.0000 0.5000
Al1 0.0000 0.0000 0.2510
# E_form: -2.1 kJ/mol of atoms

Number 1: DOS(E_F) 1.595 states/eV/atom, total DFT energy (no corrections) -23.65 eV for the cell shown. Number 2: DOS(E_F) 1.721 states/eV/atom, total DFT energy (no corrections) -67.84 eV for the cell shown.